Record 1
Na2SnAu3 GGA-PBE relaxed; formation energy = -0.281 eV per atom; calculated total energy = -36.32 eV per cell
1.0
5.367 0.000 0.000
0.000 5.574 0.000
0.000 0.000 10.076
Na Sn Au
4 2 6
Direct
0.250 0.000 0.102
0.250 0.500 0.331
0.750 0.000 0.898
0.750 0.500 0.669
0.250 0.000 0.564
0.750 0.000 0.436
0.000 0.500 0.000
0.250 0.253 0.793
0.250 0.747 0.793
0.500 0.500 0.000
0.750 0.253 0.207
0.750 0.747 0.207

=====

Record 2
NaSnAu3 GGA-PBE relaxed; formation energy = -0.206 eV per atom; calculated total energy = -64.74 eV per cell
1.0
9.384 0.000 0.000
0.000 5.762 0.000
-0.608 0.000 8.220
Na Sn Au
4 4 12
Direct
0.090 0.096 0.188
0.090 0.404 0.688
0.910 0.596 0.312
0.910 0.904 0.812
0.416 0.707 0.637
0.416 0.793 0.137
0.584 0.207 0.863
0.584 0.293 0.363
0.129 0.604 0.036
0.129 0.896 0.536
0.246 0.527 0.359
0.246 0.973 0.859
0.379 0.205 0.589
0.379 0.295 0.089
0.621 0.705 0.911
0.621 0.795 0.411
0.754 0.027 0.141
0.754 0.473 0.641
0.871 0.104 0.464
0.871 0.396 0.964

=====

Record 3
NaSnAu GGA-PBE relaxed; formation energy = -0.245 eV per atom; calculated total energy = -37.34 eV per cell
1.0
5.902 0.000 0.000
0.000 9.085 0.000
0.000 0.000 5.592
Na Sn Au
4 4 4
Direct
0.116 0.141 0.250
0.116 0.359 0.750
0.884 0.641 0.250
0.884 0.859 0.750
0.350 0.023 0.750
0.350 0.477 0.250
0.650 0.523 0.750
0.650 0.977 0.250
0.386 0.750 0.000
0.386 0.750 0.500
0.614 0.250 0.000
0.614 0.250 0.500